VASP calculation (SCAN) on a crystal of TiCuH2 relaxed with PBEsol.

abc: 3.5637 3.5637 3.5637
angles: 60.00 60.00 60.00
Fractional positions:
H1 0.7500 0.7500 0.7500
H2 0.2500 0.2500 0.2500
Ti1 0.0000 0.0000 0.0000
Cu1 0.5000 0.5000 0.5000

Values from the calculation:
* raw total energy: -9.491 eV/atom
* crystal system: cubic
* density of states at the Fermi level: 1.4 states/eV/f.u.
* calculated volume: 8.00 Å³/atom
* magnetization: 0.00 μB/atom